DFT (PBE-GGA) results for crystalline HfCuPb3 at its relaxed geometry.

Total DFT energy (no corrections) (eV per atom): -4.25
Total moment (μB/cell): 0.00
Distance to the lowest polymorph of the same formula (kJ/mol of formula units): 62
Energy relative to the elements (kJ/mol of formula units): 380

Lattice parameters (Å, degrees): 5.650 5.650 5.650 90.00 90.00 90.00
Atoms (fractional coordinates):
Pb 0.000 0.500 0.000
Pb 0.000 0.000 0.500
Pb 0.500 0.000 0.000
Hf 0.000 0.000 0.000
Cu 0.500 0.500 0.500